Version P
A plane-wave DFT calculation with PBE-GGA was carried out for an optimized crystal structure of Li3Zn2Rh.

## Properties
* mass density: 5.195 g cm⁻³
* total moment: 0.0 μB/f.u.

The structure in extended XYZ format:
```
12
Lattice="4.6914 1.6689 0.0000 0.7252 4.9263 0.0000 -2.7083 -3.2976 7.4297" Properties=species:S:1:pos:R:3 pbc="T T T"
Li 4.1169 5.0127 1.2817
Li 1.4086 1.7151 6.1481
Li -1.4086 -1.7151 6.1481
Li 1.2997 1.5825 1.2817
Li 0.0000 0.0000 2.4995
Li 2.7083 3.2976 4.9302
Zn 2.3457 0.8344 3.7149
Zn 3.6635 2.5131 0.0000
Zn 0.3626 2.4632 3.7149
Zn 1.7531 4.0821 0.0000
Rh 2.7083 3.2976 2.4328
Rh 0.0000 0.0000 4.9970
```

=====

Version Q
A plane-wave DFT calculation with PBE-GGA was carried out for an optimized crystal structure of Li3Zn2Rh.

## Properties
* mass density: 5.028 g cm⁻³
* total moment: 0.0 μB/f.u.

The structure in extended XYZ format:
```
12
Lattice="4.5495 -0.2429 -0.9377 -1.3353 4.3560 -0.9377 0.0602 0.0770 8.5907" Properties=species:S:1:pos:R:3 pbc="T T T"
Li 0.3382 1.9473 2.8420
Li 1.4365 3.3527 -0.4221
Li 2.9362 2.2427 3.8733
Li 1.8379 0.8373 7.1373
Li 2.3581 1.5007 1.2099
Li 0.9164 2.6894 5.5053
Zn -0.2052 1.2552 0.3721
Zn 1.9768 4.0473 2.0478
Zn 3.4797 2.9349 6.3431
Zn 1.2977 0.1427 4.6675
Rh -0.5814 3.7978 1.2099
Rh 3.8558 0.3922 5.5053
```

=====

Most favorable first, least favorable last: version Q, version P

=====

Version P
A plane-wave DFT calculation with PBE-GGA was carried out for an optimized crystal structure of Li2ZrRh.

## Properties
* mass density: 5.854 g cm⁻³
* total moment: 0.0 μB/f.u.

The structure in extended XYZ format:
```
4
Lattice="0.0000 3.0899 3.0899 3.0899 0.0000 3.0899 3.0899 3.0899 0.0000" Properties=species:S:1:pos:R:3 pbc="T T T"
Rh 3.0899 3.0899 3.0899
Zr 0.0000 0.0000 0.0000
Li 1.5449 1.5449 1.5449
Li 4.6348 4.6348 4.6348
```

=====

Version Q
A plane-wave DFT calculation with PBE-GGA was carried out for an optimized crystal structure of Li2ZrRh.

## Properties
* mass density: 5.357 g cm⁻³
* total moment: 0.0 μB/f.u.

The structure in extended XYZ format:
```
4
Lattice="4.5043 -0.0755 -0.0566 0.1017 4.5038 0.0566 -2.2603 -2.2585 3.1761" Properties=species:S:1:pos:R:3 pbc="T T T"
Li 4.6041 4.4265 0.0000
Li 2.2737 -0.0597 1.5597
Rh 2.3040 2.2151 0.0000
Zr 0.0727 2.2302 1.6164
```

=====

Most favorable first, least favorable last: version Q, version P

=====

Version P
A plane-wave DFT calculation with PBE-GGA was carried out for an optimized crystal structure of Li2ZrRh.

## Properties
* mass density: 4.847 g cm⁻³
* total moment: 0.0 μB/f.u.

The structure in extended XYZ format:
```
8
Lattice="-0.4495 -3.2260 1.7888 -1.2603 -1.5593 -3.1288 8.7735 -5.1288 -3.1846" Properties=species:S:1:pos:R:3 pbc="T T T"
Rh 0.0000 0.0000 0.0000
Rh 3.7345 -5.3737 -1.0329
Zr -0.8549 -2.3927 -0.6700
Zr 3.3292 -4.5404 -3.4917
Li 1.7375 -3.6184 0.0001
Li 1.3669 -2.5350 -2.5974
Li 5.9878 -5.5807 -2.7697
Li 5.0352 -8.0942 -3.6822
```

=====

Version Q
A plane-wave DFT calculation with PBE-GGA was carried out for an optimized crystal structure of Li2ZrRh.

## Properties
* mass density: 5.110 g cm⁻³
* total moment: 0.0 μB/f.u.

The structure in extended XYZ format:
```
4
Lattice="3.6506 0.0000 0.0000 0.0000 3.8001 0.0000 0.0000 0.0000 4.8722" Properties=species:S:1:pos:R:3 pbc="T T T"
Li 0.0000 0.0000 0.0000
Li 1.8253 1.9000 0.0000
Rh 1.8253 0.0000 2.4361
Zr 0.0000 1.9000 2.4361
```

=====

Version R
A plane-wave DFT calculation with PBE-GGA was carried out for an optimized crystal structure of Li2ZrRh.

## Properties
* mass density: 5.093 g cm⁻³
* total moment: 0.2 μB/f.u.

The structure in extended XYZ format:
```
4
Lattice="9.9649 -0.0075 -0.0044 9.5672 2.7868 -0.0044 9.5672 1.3614 2.4317" Properties=species:S:1:pos:R:3 pbc="T T T"
Li 28.7142 4.0859 2.3908
Li 14.9348 2.1252 1.2435
Rh 7.2748 1.0352 0.6057
Zr 21.8245 3.1055 1.8172
```

=====

Version S
A plane-wave DFT calculation with PBE-GGA was carried out for an optimized crystal structure of Li2ZrRh.

## Properties
* mass density: 4.808 g cm⁻³
* total moment: 0.0 μB/f.u.

The structure in extended XYZ format:
```
4
Lattice="-1.0378 3.0662 -0.5822 -3.0827 -0.9019 0.7451 -1.9903 0.6718 7.0860" Properties=species:S:1:pos:R:3 pbc="T T T"
Li -3.0345 -0.8300 1.0376
Li -1.7763 1.4905 1.7256
Rh -2.5373 -0.1197 3.8924
Zr -4.3819 1.2785 5.2539
```

=====

Most favorable first, least favorable last: version Q, version S, version P, version R

=====

Version P
A plane-wave DFT calculation with PBE-GGA was carried out for an optimized crystal structure of LiZrRh.

## Properties
* mass density: 6.315 g cm⁻³
* total moment: 0.0 μB/f.u.

The structure in extended XYZ format:
```
3
Lattice="2.9441 0.0000 0.0000 -1.4721 2.5497 0.0000 0.0000 0.0000 7.0433" Properties=species:S:1:pos:R:3 pbc="T T T"
Li 0.0000 0.0000 0.2378
Rh 0.0000 1.6998 2.2895
Zr 1.4721 0.8499 4.5161
```

=====

Version Q
A plane-wave DFT calculation with PBE-GGA was carried out for an optimized crystal structure of LiZrRh.

## Properties
* mass density: 6.653 g cm⁻³
* total moment: 0.0 μB/f.u.

The structure in extended XYZ format:
```
3
Lattice="-3.0808 -3.8609 0.2432 -0.3213 -3.2844 -3.6833 3.3052 2.2275 2.9276" Properties=species:S:1:pos:R:3 pbc="T T T"
Li -3.3681 -7.0740 -3.4058
Rh -1.1247 -2.3622 -1.1372
Zr -2.3114 -4.8545 -2.3372
```

=====

Most favorable first, least favorable last: version Q, version P

=====

Version P
A plane-wave DFT calculation with PBE-GGA was carried out for an optimized crystal structure of LiZrRh.

## Properties
* mass density: 6.778 g cm⁻³
* total moment: 0.0 μB/f.u.

The structure in extended XYZ format:
```
3
Lattice="4.3428 0.0000 0.0000 -2.1714 3.7609 0.0000 0.0000 0.0000 3.0158" Properties=species:S:1:pos:R:3 pbc="T T T"
Li 0.0000 0.0000 0.1765
Rh 2.1714 1.2536 0.8909
Zr 0.0000 2.5073 1.9484
```

=====

Version Q
A plane-wave DFT calculation with PBE-GGA was carried out for an optimized crystal structure of LiZrRh.

## Properties
* mass density: 6.590 g cm⁻³
* total moment: 0.0 μB/f.u.

The structure in extended XYZ format:
```
12
Lattice="5.1003 0.2147 0.1759 1.8429 6.3161 -1.0923 1.8411 0.2177 6.4067" Properties=species:S:1:pos:R:3 pbc="T T T"
Rh 4.4631 4.5339 5.2455
Rh 6.1632 5.4815 2.9020
Rh 4.3212 2.2146 0.2448
Rh 2.6211 1.2670 2.5883
Zr 7.2438 3.5913 4.4796
Zr 5.4017 0.3244 1.8224
Zr 1.5405 3.1572 1.0106
Zr 3.3825 6.4241 3.6678
Li 4.8568 2.4558 3.5556
Li 4.8576 5.5049 -0.1940
Li 3.9275 4.2927 1.9346
Li 3.9267 1.2436 5.6842
```

=====

Most favorable first, least favorable last: version Q, version P

=====

Version P
A plane-wave DFT calculation with PBE-GGA was carried out for an optimized crystal structure of LiZrRh.

## Properties
* mass density: 5.661 g cm⁻³
* total moment: 0.0 μB/f.u.

The structure in extended XYZ format:
```
3
Lattice="4.3693 0.0000 0.0000 2.1846 3.7839 0.0000 2.1846 1.2613 3.5675" Properties=species:S:1:pos:R:3 pbc="T T T"
Li 0.0000 0.0000 0.0000
Rh 4.3693 2.5226 1.7837
Zr 6.5539 3.7839 2.6756
```

=====

Version Q
A plane-wave DFT calculation with PBE-GGA was carried out for an optimized crystal structure of LiZrRh.

## Properties
* mass density: 5.714 g cm⁻³
* total moment: 0.0 μB/f.u.

The structure in extended XYZ format:
```
3
Lattice="-1.4458 4.0519 0.6818 -3.2687 1.5799 -2.4067 -3.9154 0.6417 1.7974" Properties=species:S:1:pos:R:3 pbc="T T T"
Li -4.3150 3.1367 0.0362
Rh -6.4724 4.7051 0.0543
Zr 0.0000 0.0000 0.0000
```

=====

Most favorable first, least favorable last: version Q, version P

=====

Version P
A plane-wave DFT calculation with PBE-GGA was carried out for an optimized crystal structure of LiZrRh3.

## Properties
* mass density: 9.171 g cm⁻³
* total moment: 0.0 μB/f.u.

The structure in extended XYZ format:
```
5
Lattice="-3.6408 1.9529 -0.7100 -1.2485 -3.2009 -2.4019 -1.6610 -1.8746 3.3616" Properties=species:S:1:pos:R:3 pbc="T T T"
Rh -0.6242 -1.6004 -1.2010
Rh -0.8305 -0.9373 1.6808
Rh -1.8204 0.9764 -0.3550
Zr -3.2752 -1.5613 0.1249
Li 0.0000 0.0000 0.0000
```

=====

Version Q
A plane-wave DFT calculation with PBE-GGA was carried out for an optimized crystal structure of LiZrRh3.

## Properties
* mass density: 5.970 g cm⁻³
* total moment: 0.4 μB/f.u.

The structure in extended XYZ format:
```
5
Lattice="-2.3776 3.2132 2.7239 -2.5665 -3.5852 1.9890 3.3402 -0.4676 3.4672" Properties=species:S:1:pos:R:3 pbc="T T T"
Rh -1.2833 -1.7926 0.9945
Rh 1.6701 -0.2338 1.7336
Rh -1.1888 1.6066 1.3619
Zr 0.0000 0.0000 0.0000
Li -0.8020 -0.4198 4.0900
```

=====

Most favorable first, least favorable last: version P, version Q

=====

Version P
A plane-wave DFT calculation with PBE-GGA was carried out for an optimized crystal structure of LiRu5.

## Properties
* mass density: 10.313 g cm⁻³
* total moment: 0.0 μB/f.u.

The structure in extended XYZ format:
```
6
Lattice="1.3600 4.9189 0.0138 -1.3600 4.9189 0.0138 0.0000 1.5441 6.1694" Properties=species:S:1:pos:R:3 pbc="T T T"
Li 0.0000 9.8088 0.0412
Ru 0.0000 3.7960 2.0834
Ru 0.0000 7.6213 4.1049
Ru 0.0000 6.4956 1.7572
Ru 0.0000 10.2465 3.8097
Ru 0.0000 4.1179 5.7896
```

=====

Version Q
A plane-wave DFT calculation with PBE-GGA was carried out for an optimized crystal structure of LiRu5.

## Properties
* mass density: 10.677 g cm⁻³
* total moment: 0.0 μB/f.u.

The structure in extended XYZ format:
```
6
Lattice="-2.0289 -0.7465 1.7611 2.9631 -1.4082 2.8169 -1.2748 6.6963 1.3697" Properties=species:S:1:pos:R:3 pbc="T T T"
Ru 1.5581 1.5152 2.4374
Ru 0.1302 3.7729 1.7492
Ru 0.4671 -1.0774 2.2890
Ru -0.9550 1.3498 1.6794
Ru 0.6144 3.1919 4.2683
Li 0.0000 0.0000 0.0000
```

=====

Most favorable first, least favorable last: version P, version Q